Record 1
The following is a DFT calculation (PBE) of a relaxed CuRu2Pb crystal.

```
data_CuRu2Pb
_space_group_name_H-M_alt 'I m m 2'
_space_group_IT_number 44
_cell_length_a 3.180
_cell_length_b 4.488
_cell_length_c 8.985
_cell_angle_alpha 90.00
_cell_angle_beta 90.00
_cell_angle_gamma 90.00
loop_
_space_group_symop_operation_xyz
'x,y,z'
'-x,-y,z'
'-x,y,z'
'x,-y,z'
'x+1/2,y+1/2,z+1/2'
'-x+1/2,-y+1/2,z+1/2'
'-x+1/2,y+1/2,z+1/2'
'x+1/2,-y+1/2,z+1/2'
loop_
_atom_site_label
_atom_site_type_symbol
_atom_site_fract_x
_atom_site_fract_y
_atom_site_fract_z
Cu1 Cu 0.000 0.000 0.000
Ru1 Ru 0.000 0.000 0.514
Ru2 Ru 0.000 0.500 0.260
Pb1 Pb 0.000 0.500 0.751
```

Summary:
The value obtained for the uncorrected energy is -6.02 eV per atom. The formation energy comes out at 2.30 eV/f.u.

---

Record 2
The following is a DFT calculation (PBE) of a relaxed BaLi2CaGe crystal.

```
data_BaLi2CaGe
_space_group_name_H-M_alt 'P 4/m m m'
_space_group_IT_number 123
_space_group_name_Hall '-P 4 2'
_cell_length_a 5.243
_cell_length_b 5.243
_cell_length_c 5.737
_cell_angle_alpha 90.00
_cell_angle_beta 90.00
_cell_angle_gamma 90.00
loop_
_atom_site_label
_atom_site_type_symbol
_atom_site_fract_x
_atom_site_fract_y
_atom_site_fract_z
Ba1 Ba 0.000 0.000 0.000
Li1 Li 0.000 0.500 0.500
Ca1 Ca 0.500 0.500 0.000
Ge1 Ge 0.500 0.500 0.500
```

Summary:
The value obtained for the uncorrected energy is -2.60 eV per atom. The formation energy comes out at -0.64 eV/f.u.

---

Record 3
The following is a DFT calculation (PBE) of a relaxed HoZrCdAg crystal.

```
data_HoZrCdAg
_space_group_name_H-M_alt 'F -4 3 m'
_space_group_IT_number 216
_space_group_name_Hall 'F -4 2 3'
_cell_length_a 7.161
_cell_length_b 7.161
_cell_length_c 7.161
_cell_angle_alpha 90.00
_cell_angle_beta 90.00
_cell_angle_gamma 90.00
loop_
_atom_site_label
_atom_site_type_symbol
_atom_site_fract_x
_atom_site_fract_y
_atom_site_fract_z
Ho1 Ho 0.000 0.000 0.000
Zr1 Zr 0.000 0.000 0.500
Cd1 Cd 0.250 0.250 0.750
Ag1 Ag 0.250 0.250 0.250
```

Summary:
The value obtained for the uncorrected energy is -4.33 eV per atom. The formation energy comes out at -0.43 eV/f.u.

---

Record 4
The following is a DFT calculation (PBE) of a relaxed Sm12SbRh6 crystal.

```
data_Sm12SbRh6
_space_group_name_H-M_alt 'I m -3'
_space_group_IT_number 204
_space_group_name_Hall '-I 2 2 3'
_cell_length_a 10.107
_cell_length_b 10.107
_cell_length_c 10.107
_cell_angle_alpha 90.00
_cell_angle_beta 90.00
_cell_angle_gamma 90.00
loop_
_atom_site_label
_atom_site_type_symbol
_atom_site_fract_x
_atom_site_fract_y
_atom_site_fract_z
Sm1 Sm 0.000 0.305 0.188
Sb1 Sb 0.000 0.000 0.000
Rh1 Rh 0.000 0.131 0.500
```

Summary:
The value obtained for the uncorrected energy is -6.12 eV per atom.

---

Record 5
The following is a DFT calculation (PBE) of a relaxed HfAs2HSe crystal.

```
data_HfAs2HSe
_space_group_name_H-M_alt 'P 4/m m m'
_space_group_IT_number 123
_space_group_name_Hall '-P 4 2'
_cell_length_a 3.938
_cell_length_b 3.938
_cell_length_c 5.304
_cell_angle_alpha 90.00
_cell_angle_beta 90.00
_cell_angle_gamma 90.00
loop_
_atom_site_label
_atom_site_type_symbol
_atom_site_fract_x
_atom_site_fract_y
_atom_site_fract_z
Hf1 Hf 0.000 0.000 0.000
As1 As 0.000 0.500 0.500
H1 H 0.500 0.500 0.500
Se1 Se 0.500 0.500 0.000
```

Summary:
The value obtained for the uncorrected energy is -5.15 eV per atom. As for the excess energy over the best structure of this formula in the dataset: 0 meV/atom.

---

Record 6
The following is a DFT calculation (PBE) of a relaxed ZnGaAg2Mo crystal.

```
data_ZnGaAg2Mo
_space_group_name_H-M_alt 'P 4/m m m'
_space_group_IT_number 123
_space_group_name_Hall '-P 4 2'
_cell_length_a 4.638
_cell_length_b 4.638
_cell_length_c 4.822
_cell_angle_alpha 90.00
_cell_angle_beta 90.00
_cell_angle_gamma 90.00
loop_
_atom_site_label
_atom_site_type_symbol
_atom_site_fract_x
_atom_site_fract_y
_atom_site_fract_z
Zn1 Zn 0.000 0.000 0.000
Ga1 Ga 0.500 0.500 0.500
Ag1 Ag 0.000 0.500 0.000
Mo1 Mo 0.000 0.000 0.500
```

Summary:
The value obtained for the uncorrected energy is -3.19 eV per atom. The formation energy comes out at 4.89 eV/f.u.

---

Record 7
The following is a DFT calculation (PBE) of a relaxed InTcCl2 crystal.

```
data_InTcCl2
_space_group_name_H-M_alt 'I -4 m 2'
_space_group_IT_number 119
_space_group_name_Hall 'I -4 -2'
_cell_length_a 4.086
_cell_length_b 4.086
_cell_length_c 11.306
_cell_angle_alpha 90.00
_cell_angle_beta 90.00
_cell_angle_gamma 90.00
loop_
_atom_site_label
_atom_site_type_symbol
_atom_site_fract_x
_atom_site_fract_y
_atom_site_fract_z
In1 In 0.000 0.000 0.000
Tc1 Tc 0.000 0.500 0.750
Cl1 Cl 0.000 0.000 0.500
Cl2 Cl 0.000 0.500 0.250
```

Summary:
The value obtained for the uncorrected energy is -3.83 eV per atom. As for the excess energy over the best structure of this formula in the dataset: 649 meV/atom.

---

Record 8
The following is a DFT calculation (PBE) of a relaxed La14NdIn crystal.

```
data_La14NdIn
_space_group_name_H-M_alt 'P 4/m m m'
_space_group_IT_number 123
_space_group_name_Hall '-P 4 2'
_cell_length_a 7.349
_cell_length_b 7.349
_cell_length_c 10.406
_cell_angle_alpha 90.00
_cell_angle_beta 90.00
_cell_angle_gamma 90.00
loop_
_atom_site_label
_atom_site_type_symbol
_atom_site_fract_x
_atom_site_fract_y
_atom_site_fract_z
La1 La 0.000 0.000 0.000
La2 La 0.000 0.500 0.000
La3 La 0.000 0.500 0.500
La4 La 0.244 0.244 0.256
La5 La 0.500 0.500 0.000
Nd1 Nd 0.500 0.500 0.500
In1 In 0.000 0.000 0.500
```

Summary:
The value obtained for the uncorrected energy is -4.84 eV per atom. The formation energy comes out at -1.01 eV/f.u.